1.
ReSiNi2 GGA-PBE optimized geometry; total magnetic moment = 0.02 μB per formula unit; crystal system = trigonal; VASP energy = -0.5414 Ry/atom; E_form (uncorrected) = -0.008 eV/atom
1.0
-7.1772 -3.3021 -1.6609
-5.6540 -4.5796 -3.4978
-5.8030 -5.5285 -0.9672
Ni Re Si
2 1 1
direct
0.0044 0.0044 0.0044
0.2521 0.2521 0.2521
0.4989 0.4989 0.4989
0.7445 0.7445 0.7445


2.
Re2SiNi GGA-PBE optimized geometry; total magnetic moment = 0.00 μB per formula unit; crystal system = tetragonal; VASP energy = -0.6664 Ry/atom; E_form (uncorrected) = -0.041 eV/atom
1.0
-2.6514 -0.1698 3.3785
-3.3487 -0.4761 -2.6519
0.3159 -2.8146 0.1065
Ni Re Si
1 2 1
direct
0.0000 0.5000 0.5000
0.0000 0.0000 0.0000
0.5000 0.5000 0.0000
0.5000 0.0000 0.5000


3.
ReSiNi2 GGA-PBE optimized geometry; total magnetic moment = 0.00 μB per formula unit; crystal system = tetragonal; VASP energy = -0.5512 Ry/atom; E_form (uncorrected) = -0.140 eV/atom
1.0
2.8662 0.0000 0.0000
0.0000 2.8662 0.0000
0.0000 0.0000 5.8651
Ni Re Si
2 1 1
direct
0.0000 0.0000 0.9786
0.5000 0.5000 0.2386
0.0000 0.0000 0.5002
0.5000 0.5000 0.7827